Crystalline La8Sm3Sc at its relaxed geometry. Source: Alexandria via LeMat-Bulk, functional PBE-GGA.

Formation energy, eV per atom: 0.48
Density, Mg/m³: 5.8
Crystal system: tetragonal
Total magnetization, μB per cell: 0.00

The structure in CIF format:
```
data_La8Sm3Sc
_chemical_formula_sum 'La16 Sm6 Sc2'
_cell_length_a 8.8136
_cell_length_b 8.8136
_cell_length_c 11.7757
_cell_angle_alpha 90.00
_cell_angle_beta 90.00
_cell_angle_gamma 90.00
_space_group_name_H-M_alt 'I -4 2 m'
_space_group_IT_number 121
_space_group_name_Hall 'I -4 2'
loop_
_atom_site_label
_atom_site_fract_x
_atom_site_fract_y
_atom_site_fract_z
La1 0.1246 0.1246 0.2474
La2 0.2434 0.2434 0.9872
Sm1 0.0000 0.0000 0.5000
Sm2 0.0000 0.5000 0.2500
Sc1 0.0000 0.0000 0.0000
```

***

Crystalline Ca2CrCu at its relaxed geometry. Source: Alexandria via LeMat-Bulk, functional PBE-GGA.

Formation energy, eV per atom: 0.26
Density, Mg/m³: 3.1
Crystal system: monoclinic
Total magnetization, μB per cell: 4.42

The structure in CIF format:
```
data_Ca2CrCu
_chemical_formula_sum 'Ca2 Cr1 Cu1'
_cell_length_a 4.3372
_cell_length_b 4.3436
_cell_length_c 5.9975
_cell_angle_alpha 90.00
_cell_angle_beta 111.13
_cell_angle_gamma 90.00
_space_group_name_H-M_alt 'P 1 m 1'
_space_group_IT_number 6
loop_
_space_group_symop_operation_xyz
'x,y,z'
'x,-y,z'
loop_
_atom_site_label
_atom_site_fract_x
_atom_site_fract_y
_atom_site_fract_z
Ca1 0.0000 0.0000 0.0000
Ca2 0.2874 0.5000 0.5753
Cr1 0.5839 0.5000 0.1674
Cu1 0.7048 0.0000 0.4094
```

***

Crystalline La6HPb2N at its relaxed geometry. Source: Alexandria via LeMat-Bulk, functional PBE-GGA.

Density, Mg/m³: 7.8
Crystal system: orthorhombic
Total energy, eV/atom: -5.560
Total magnetization, μB per cell: 0.00

The structure in CIF format:
```
data_La6HPb2N
_chemical_formula_sum 'La12 H2 Pb4 N2'
_cell_length_a 7.2488
_cell_length_b 10.2784
_cell_length_c 7.2487
_cell_angle_alpha 90.00
_cell_angle_beta 90.00
_cell_angle_gamma 90.00
_space_group_name_H-M_alt 'P m m n'
_space_group_IT_number 59
loop_
_space_group_symop_operation_xyz
'x,y,z'
'-x,-y,-z'
'-x+1/2,-y+1/2,z'
'x+1/2,y+1/2,-z'
'x+1/2,-y,-z'
'-x+1/2,y,z'
'-x,y+1/2,-z'
'x,-y+1/2,z'
loop_
_atom_site_label
_atom_site_fract_x
_atom_site_fract_y
_atom_site_fract_z
La1 0.0054 0.2500 0.0051
La2 0.0054 0.2500 0.4942
La3 0.2500 0.0062 0.2500
H1 0.2500 0.7500 0.2505
Pb1 0.2500 0.0000 0.7500
N1 0.2500 0.2500 0.2495
```